Compound: AlGa2GeCl
Source: Alexandria via LeMat-Bulk
Functional: PBE
Structure: relaxed

Cell: 5.1841 5.1841 4.8145 Å, 90.00 90.00 90.00°
Last column: nearest neighbours and their distance in Å.
Sites, in units of the cell vectors:
Al: 0.0000 0.0000 0.0000  2 Ge 2.41, 4 Ga 2.59
Ga: 0.0000 0.5000 0.0000  2 Al 2.59
Ga: 0.5000 0.0000 0.0000  2 Al 2.59
Ge: 0.0000 0.0000 0.5000  2 Al 2.41
Cl: 0.5000 0.5000 0.5000  8 Ga 3.54, 4 Ge 3.67

Values from the calculation:
Space group = No. 123
D(E_F) = 2.699 states/eV/f.u.
Energy = -3.019 eV/atom
E_form (uncorrected) = 0.23 eV/atom
Crystal system = tetragonal